i:
Below is a relaxed structure of MnGaF3, with properties calculated at the GGA+U level.

Output
SG   Pm-3m (221)

The structure in extended XYZ format:
```
5
Lattice="4.475 0.000 0.000 0.000 4.475 0.000 0.000 0.000 4.475" Properties=species:S:1:pos:R:3 pbc="T T T"
F 2.238 0.000 0.000
F 0.000 0.000 2.238
F 0.000 2.238 0.000
Ga 0.000 0.000 0.000
Mn 2.238 2.238 2.238
```

=====

ii:
Below is a relaxed structure of MnGaF3, with properties calculated at the GGA+U level.

Output
SG   Pm-3m (221)

The structure in extended XYZ format:
```
5
Lattice="4.248 0.000 0.000 0.000 4.248 0.000 0.000 0.000 4.248" Properties=species:S:1:pos:R:3 pbc="T T T"
Ga 2.124 2.124 2.124
F 0.000 0.000 2.124
F 0.000 2.124 0.000
F 2.124 0.000 0.000
Mn 0.000 0.000 0.000
```

=====

Which structure wins on stability? ii wins.

=====

i:
Below is a relaxed structure of MnGa3F, with properties calculated at the GGA+U level.

Output
SG   Pm-3m (221)

The structure in extended XYZ format:
```
5
Lattice="-3.407 3.135 1.026 -0.646 -2.081 4.212 3.234 2.886 1.922" Properties=species:S:1:pos:R:3 pbc="T T T"
Ga 1.617 1.443 0.961
Ga -0.323 -1.040 2.106
Ga -1.703 1.567 0.513
Mn -0.409 1.970 3.580
F 0.000 0.000 0.000
```

=====

ii:
Below is a relaxed structure of MnGa3F, with properties calculated at the GGA+U level.

Output
SG   Pm-3m (221)

The structure in extended XYZ format:
```
5
Lattice="-2.903 3.331 2.111 -1.680 -3.416 3.080 3.568 1.102 3.168" Properties=species:S:1:pos:R:3 pbc="T T T"
Ga -0.840 -1.708 1.540
Ga -1.452 1.666 1.056
Ga 1.784 0.551 1.584
Mn 0.000 0.000 0.000
F -0.508 0.508 4.180
```

=====

Which structure wins on stability? i wins.

=====

i:
Below is a relaxed structure of MnGa2F, with properties calculated at the GGA+U level.

Output
SG   Fm-3m (225)

The structure in extended XYZ format:
```
4
Lattice="0.000 3.303 3.303 3.303 0.000 3.303 3.303 3.303 0.000" Properties=species:S:1:pos:R:3 pbc="T T T"
Ga 4.955 4.955 4.955
Ga 1.652 1.652 1.652
F 0.000 0.000 0.000
Mn 3.303 3.303 3.303
```

=====

ii:
Below is a relaxed structure of MnGa2F, with properties calculated at the GGA+U level.

Output
SG   I-42d (122)

The structure in extended XYZ format:
```
8
Lattice="7.583 0.000 0.000 0.000 7.583 0.000 3.792 3.792 2.523" Properties=species:S:1:pos:R:3 pbc="T T T"
Ga 9.479 9.050 1.893
Ga 5.258 1.896 0.631
Ga 2.325 5.688 0.631
Ga 5.688 6.117 1.893
Mn 0.000 0.000 0.000
Mn 7.583 3.792 1.262
F 3.792 7.583 1.262
F 3.792 3.792 0.000
```

=====

Which structure wins on stability? ii wins.

=====

i:
Below is a relaxed structure of MnGa2F8, with properties calculated at the GGA+U level.

Output
SG   C2/m (12)

The structure in extended XYZ format:
```
11
Lattice="-1.401 -3.305 3.814 2.834 -3.232 -2.890 4.861 0.976 1.500" Properties=species:S:1:pos:R:3 pbc="T T T"
F 2.457 -1.734 3.421
F 5.090 -1.225 1.718
F 5.904 -2.406 -0.419
F 3.317 -3.675 1.992
F 3.838 -3.826 -0.996
F 0.390 -3.155 2.844
F 2.977 -1.886 0.434
F 1.205 -4.335 0.707
Ga 1.659 -2.528 1.658
Ga 4.636 -3.032 0.767
Mn 0.000 0.000 0.000
```

=====

ii:
Below is a relaxed structure of MnGa2F8, with properties calculated at the GGA+U level.

Output
SG   P-1 (2)

The structure in extended XYZ format:
```
11
Lattice="-2.233 -3.077 -1.118 2.456 -3.535 4.818 -5.340 3.523 0.965" Properties=species:S:1:pos:R:3 pbc="T T T"
Ga -3.292 0.412 1.973
Ga -1.825 -3.501 2.691
F -3.363 -0.178 3.692
F -0.549 -4.637 3.314
F -4.408 -1.127 1.415
F -4.567 1.547 1.351
F -3.149 -2.925 3.794
F -0.708 -1.962 3.250
F -1.967 -0.165 0.871
F -1.753 -2.911 0.972
Mn -5.340 3.523 0.965
```

=====

Which structure wins on stability? ii wins.

=====

i:
Below is a relaxed structure of GaMo2F, with properties calculated at the GGA+U level.

Output
SG   I-42d (122)

The structure in extended XYZ format:
```
8
Lattice="6.931 0.000 0.000 0.000 6.931 0.000 3.466 3.466 3.280" Properties=species:S:1:pos:R:3 pbc="T T T"
Ga 0.000 0.000 0.000
Ga 6.931 3.466 1.640
Mo 4.939 1.733 0.820
Mo 1.993 5.198 0.820
Mo 8.664 8.404 2.460
Mo 5.198 5.458 2.460
F 3.466 3.466 0.000
F 3.466 6.931 1.640
```

=====

ii:
Below is a relaxed structure of GaMo2F, with properties calculated at the GGA+U level.

Output
SG   Fm-3m (225)

The structure in extended XYZ format:
```
4
Lattice="0.000 3.078 3.078 3.078 0.000 3.078 3.078 3.078 0.000" Properties=species:S:1:pos:R:3 pbc="T T T"
Mo 4.617 4.617 4.617
Mo 1.539 1.539 1.539
Ga 3.078 3.078 3.078
F 0.000 0.000 0.000
```

=====

Which structure wins on stability? i wins.

=====

i:
Below is a relaxed structure of GaMoF3, with properties calculated at the GGA+U level.

Output
SG   Pm-3m (221)

The structure in extended XYZ format:
```
5
Lattice="4.411 0.000 0.000 0.000 4.411 0.000 0.000 0.000 4.411" Properties=species:S:1:pos:R:3 pbc="T T T"
F 0.000 2.206 0.000
F 0.000 0.000 2.206
F 2.206 0.000 0.000
Ga 2.206 2.206 2.206
Mo 0.000 0.000 0.000
```

=====

ii:
Below is a relaxed structure of GaMoF3, with properties calculated at the GGA+U level.

Output
SG   Pm-3m (221)

The structure in extended XYZ format:
```
5
Lattice="-0.124 -0.219 -4.236 -0.508 -4.207 0.232 -4.211 0.514 0.097" Properties=species:S:1:pos:R:3 pbc="T T T"
F -0.062 -0.109 -2.118
F -2.106 0.257 0.048
F -0.254 -2.103 0.116
Mo -2.422 -1.956 -1.954
Ga 0.000 0.000 0.000
```

=====

Which structure wins on stability? i wins.